No. 1
Below is a relaxed structure of LaGdTlHg, with properties calculated at the PBE-GGA level.

Cell and atoms, written as extended XYZ:
```
4
Lattice="5.4816 0.0000 0.0000 2.7408 4.7472 0.0000 2.7408 1.5824 4.4757" Properties=species:S:1:pos:R:3 pbc="T T T"
Tl 0.0000 0.0000 0.0000
Gd 8.2223 4.7472 3.3568
Hg 5.4816 3.1648 2.2378
La 2.7408 1.5824 1.1189
```

No. 2
Below is a relaxed structure of KZn2Mo, with properties calculated at the PBE-GGA level.

Cell and atoms, written as extended XYZ:
```
4
Lattice="-0.6596 0.5106 4.8044 3.3547 -1.6817 3.1139 2.7679 3.1230 2.5227" Properties=species:S:1:pos:R:3 pbc="T T T"
K 2.7315 0.9760 5.2205
Mo 4.0973 1.4640 7.8308
Zn 0.0000 0.0000 0.0000
Zn 1.3658 0.4880 2.6103
```

Values from the calculation:
energy above the lowest structure with this stoichiometry = 682.5 meV/atom

No. 3
Below is a relaxed structure of AcYPt, with properties calculated at the PBE-GGA level.

Cell and atoms, written as extended XYZ:
```
6
Lattice="4.0535 0.0000 0.0000 -2.0268 6.2712 0.0000 0.0000 0.0000 7.2356" Properties=species:S:1:pos:R:3 pbc="T T T"
Ac 2.0268 0.0000 3.6178
Ac 2.0268 0.0000 0.0000
Pt 0.0000 1.5550 1.8089
Pt 2.0268 4.7161 5.4267
Y 0.0000 2.7722 5.4267
Y 2.0268 3.4990 1.8089
```

Values from the calculation:
energy above the lowest structure with this stoichiometry = 83.8 meV/atom

| no. | energy of formation from the pure elements (meV/atom) |
| --- | --- |
| 1 | -458.1 |
| 2 | 1104.1 |
| 3 | -745.3 |